(1)
## CaBH4 (PBE)

Data for CaBH4 after structural relaxation.

Computed properties:
As for the energy above the most stable polymorph in this dataset: 151 meV/atom. The value obtained for the raw total energy is -3.82 eV per atom.

The structure in CIF format:
```
data_CaBH4
_chemical_formula_sum 'Ca4 B4 H16'
_cell_length_a 4.7914
_cell_length_b 10.9050
_cell_length_c 4.2707
_cell_angle_alpha 90.00
_cell_angle_beta 90.00
_cell_angle_gamma 90.00
_space_group_name_H-M_alt 'C m c m'
_space_group_IT_number 63
_space_group_name_Hall '-C 2c 2'
loop_
_atom_site_label
_atom_site_type_symbol
_atom_site_fract_x
_atom_site_fract_y
_atom_site_fract_z
Ca1 Ca 0.0000 0.1256 0.2500
B1 B 0.0000 0.3758 0.2500
H1 H 0.0000 0.0841 0.7500
H2 H 0.0000 0.3184 0.0040
H3 H 0.0000 0.4844 0.2500
```

(2)
## PmNd3Al2 (PBE)

Data for PmNd3Al2 after structural relaxation.

Computed properties:
As for the energy above the most stable polymorph in this dataset: 80 meV/atom. As for the formation enthalpy at 0 K: -0.1673 eV per atom. The value obtained for the raw total energy is -4.59 eV per atom.

The structure in CIF format:
```
data_PmNd3Al2
_chemical_formula_sum 'Pm2 Nd6 Al4'
_cell_length_a 4.9595
_cell_length_b 15.2666
_cell_length_c 4.5076
_cell_angle_alpha 90.00
_cell_angle_beta 90.00
_cell_angle_gamma 90.00
_space_group_name_H-M_alt 'C m m m'
_space_group_IT_number 65
_space_group_name_Hall '-C 2 2'
loop_
_atom_site_label
_atom_site_type_symbol
_atom_site_fract_x
_atom_site_fract_y
_atom_site_fract_z
Pm1 Pm 0.0000 0.0000 0.0000
Nd1 Nd 0.0000 0.1762 0.5000
Nd2 Nd 0.0000 0.5000 0.5000
Al1 Al 0.0000 0.3420 0.0000
```

(3)
## NpAl2Ag2S6 (PBE)

Data for NpAl2Ag2S6 after structural relaxation.

Computed properties:
As for the uncorrected formation energy: -8.6 eV/f.u. The value obtained for the raw total energy is -5.41 eV per atom.

The structure in CIF format:
```
data_NpAl2Ag2S6
_chemical_formula_sum 'Np2 Al4 Ag4 S12'
_cell_length_a 6.3502
_cell_length_b 11.0753
_cell_length_c 6.5578
_cell_angle_alpha 90.00
_cell_angle_beta 104.39
_cell_angle_gamma 90.00
_space_group_name_H-M_alt 'C 1 2/m 1'
_space_group_IT_number 12
loop_
_space_group_symop_operation_xyz
'x,y,z'
'-x,-y,-z'
'-x,y,-z'
'x,-y,z'
'x+1/2,y+1/2,z'
'-x+1/2,-y+1/2,-z'
'-x+1/2,y+1/2,-z'
'x+1/2,-y+1/2,z'
loop_
_atom_site_label
_atom_site_type_symbol
_atom_site_fract_x
_atom_site_fract_y
_atom_site_fract_z
Np1 Np 0.0000 0.0000 0.0000
Al1 Al 0.0000 0.3310 0.0000
Ag1 Ag 0.0000 0.1358 0.5000
S1 S 0.1882 0.5000 0.2141
S2 S 0.2302 0.1843 0.2198
```

(4)
## BaMgS2Cl (PBE)

Data for BaMgS2Cl after structural relaxation.

Computed properties:
As for the energy above the most stable polymorph in this dataset: 1197 meV/atom. As for the uncorrected formation energy: -1.5 eV/f.u. The value obtained for the raw total energy is -3.02 eV per atom.

The structure in CIF format:
```
data_BaMgS2Cl
_chemical_formula_sum 'Ba1 Mg1 S2 Cl1'
_cell_length_a 5.8087
_cell_length_b 5.8087
_cell_length_c 5.7353
_cell_angle_alpha 90.00
_cell_angle_beta 90.00
_cell_angle_gamma 90.00
_space_group_name_H-M_alt 'P 4/m m m'
_space_group_IT_number 123
_space_group_name_Hall '-P 4 2'
loop_
_atom_site_label
_atom_site_type_symbol
_atom_site_fract_x
_atom_site_fract_y
_atom_site_fract_z
Ba1 Ba 0.0000 0.0000 0.0000
Mg1 Mg 0.5000 0.5000 0.5000
S1 S 0.0000 0.5000 0.0000
Cl1 Cl 0.0000 0.0000 0.5000
```

(5)
## CuIrSe2 (PBE)

Data for CuIrSe2 after structural relaxation.

Computed properties:
As for the uncorrected formation energy: 0.8 eV/f.u. The value obtained for the raw total energy is -4.79 eV per atom.

The structure in CIF format:
```
data_CuIrSe2
_chemical_formula_sum 'Cu1 Ir1 Se2'
_cell_length_a 4.6200
_cell_length_b 3.6178
_cell_length_c 4.6671
_cell_angle_alpha 90.00
_cell_angle_beta 107.65
_cell_angle_gamma 90.00
_space_group_name_H-M_alt 'P 1 2/m 1'
_space_group_IT_number 10
loop_
_space_group_symop_operation_xyz
'x,y,z'
'-x,-y,-z'
'-x,y,-z'
'x,-y,z'
loop_
_atom_site_label
_atom_site_type_symbol
_atom_site_fract_x
_atom_site_fract_y
_atom_site_fract_z
Cu1 Cu 0.0000 0.0000 0.0000
Ir1 Ir 0.5000 0.0000 0.5000
Se1 Se 0.2578 0.5000 0.7011
```

(6)
## KBa2InPd (PBE)

Data for KBa2InPd after structural relaxation.

Computed properties:
As for the formation enthalpy at 0 K: -0.2697 eV per atom. The value obtained for the raw total energy is -2.84 eV per atom.

The structure in CIF format:
```
data_KBa2InPd
_chemical_formula_sum 'K1 Ba2 In1 Pd1'
_cell_length_a 6.2865
_cell_length_b 6.2865
_cell_length_c 5.4006
_cell_angle_alpha 90.00
_cell_angle_beta 90.00
_cell_angle_gamma 90.00
_space_group_name_H-M_alt 'P 4/m m m'
_space_group_IT_number 123
_space_group_name_Hall '-P 4 2'
loop_
_atom_site_label
_atom_site_type_symbol
_atom_site_fract_x
_atom_site_fract_y
_atom_site_fract_z
K1 K 0.0000 0.0000 0.0000
Ba1 Ba 0.0000 0.5000 0.5000
In1 In 0.5000 0.5000 0.0000
Pd1 Pd 0.5000 0.5000 0.5000
```

(7)
## Zr2Pb3 (PBE)

Data for Zr2Pb3 after structural relaxation.

Computed properties:
As for the energy above the most stable polymorph in this dataset: 15 meV/atom. As for the formation enthalpy at 0 K: 0.0035 eV per atom. The value obtained for the raw total energy is -5.64 eV per atom.

The structure in CIF format:
```
data_Zr2Pb3
_chemical_formula_sum 'Zr6 Pb9'
_cell_length_a 3.4122
_cell_length_b 3.4122
_cell_length_c 38.5993
_cell_angle_alpha 90.00
_cell_angle_beta 90.00
_cell_angle_gamma 120.00
_space_group_name_H-M_alt 'R -3 m'
_space_group_IT_number 166
_space_group_name_Hall '-R 3 2"'
loop_
_atom_site_label
_atom_site_type_symbol
_atom_site_fract_x
_atom_site_fract_y
_atom_site_fract_z
Zr1 Zr 0.0000 0.0000 0.1020
Pb1 Pb 0.0000 0.0000 0.2961
Pb2 Pb 0.0000 0.0000 0.5000
```

(8)
## LiAcCu17 (PBE)

Data for LiAcCu17 after structural relaxation.

Computed properties:
As for the formation enthalpy at 0 K: -0.0135 eV per atom. The value obtained for the raw total energy is -4.00 eV per atom.

The structure in CIF format:
```
data_LiAcCu17
_chemical_formula_sum 'Li3 Ac3 Cu51'
_cell_length_a 8.6055
_cell_length_b 8.6055
_cell_length_c 12.5366
_cell_angle_alpha 90.00
_cell_angle_beta 90.00
_cell_angle_gamma 120.00
_space_group_name_H-M_alt 'R 3 m'
_space_group_IT_number 160
_space_group_name_Hall 'R 3 -2"'
loop_
_atom_site_label
_atom_site_type_symbol
_atom_site_fract_x
_atom_site_fract_y
_atom_site_fract_z
Li1 Li 0.0000 0.0000 0.0000
Ac1 Ac 0.0000 0.0000 0.6838
Cu1 Cu 0.0000 0.0000 0.2353
Cu2 Cu 0.0000 0.0000 0.4290
Cu3 Cu 0.0410 0.3687 0.0040
Cu4 Cu 0.1671 0.3342 0.1718
Cu5 Cu 0.1672 0.3344 0.5171
Cu6 Cu 0.1730 0.3461 0.8247
```

(9)
## Pr2SmPu (PBE)

Data for Pr2SmPu after structural relaxation.

Computed properties:
As for the energy above the most stable polymorph in this dataset: 149 meV/atom. As for the formation enthalpy at 0 K: 0.2701 eV per atom. The value obtained for the raw total energy is -6.88 eV per atom.

The structure in CIF format:
```
data_Pr2SmPu
_chemical_formula_sum 'Pr6 Sm3 Pu3'
_cell_length_a 3.5407
_cell_length_b 3.5407
_cell_length_c 37.8125
_cell_angle_alpha 90.00
_cell_angle_beta 90.00
_cell_angle_gamma 120.00
_space_group_name_H-M_alt 'R -3 m'
_space_group_IT_number 166
_space_group_name_Hall '-R 3 2"'
loop_
_atom_site_label
_atom_site_type_symbol
_atom_site_fract_x
_atom_site_fract_y
_atom_site_fract_z
Pr1 Pr 0.0000 0.0000 0.0874
Sm1 Sm 0.0000 0.0000 0.5000
Pu1 Pu 0.0000 0.0000 0.0000
```

(10)
## TaHPb3 (PBE)

Data for TaHPb3 after structural relaxation.

Computed properties:
As for the energy above the most stable polymorph in this dataset: 0 meV/atom. The value obtained for the raw total energy is -4.48 eV per atom.

The structure in CIF format:
```
data_TaHPb3
_chemical_formula_sum 'Ta1 H1 Pb3'
_cell_length_a 4.7780
_cell_length_b 4.7780
_cell_length_c 4.7780
_cell_angle_alpha 90.00
_cell_angle_beta 90.00
_cell_angle_gamma 90.00
_space_group_name_H-M_alt 'P m -3 m'
_space_group_IT_number 221
_space_group_name_Hall '-P 4 2 3'
loop_
_atom_site_label
_atom_site_type_symbol
_atom_site_fract_x
_atom_site_fract_y
_atom_site_fract_z
Ta1 Ta 0.0000 0.0000 0.0000
H1 H 0.5000 0.5000 0.5000
Pb1 Pb 0.0000 0.5000 0.5000
```

(11)
## PmDy3Ho6Th2 (PBE)

Data for PmDy3Ho6Th2 after structural relaxation.

Computed properties:
As for the formation enthalpy at 0 K: 0.0289 eV per atom. The value obtained for the raw total energy is -5.04 eV per atom.

The structure in CIF format:
```
data_PmDy3Ho6Th2
_chemical_formula_sum 'Pm2 Dy6 Ho12 Th4'
_cell_length_a 6.1646
_cell_length_b 10.6677
_cell_length_c 11.7111
_cell_angle_alpha 90.00
_cell_angle_beta 100.12
_cell_angle_gamma 90.00
_space_group_name_H-M_alt 'C 1 2/m 1'
_space_group_IT_number 12
loop_
_space_group_symop_operation_xyz
'x,y,z'
'-x,-y,-z'
'-x,y,-z'
'x,-y,z'
'x+1/2,y+1/2,z'
'-x+1/2,-y+1/2,-z'
'-x+1/2,y+1/2,-z'
'x+1/2,-y+1/2,z'
loop_
_atom_site_label
_atom_site_type_symbol
_atom_site_fract_x
_atom_site_fract_y
_atom_site_fract_z
Pm1 Pm 0.0000 0.0000 0.0000
Dy1 Dy 0.0000 0.1663 0.5000
Dy2 Dy 0.0000 0.5000 0.5000
Ho1 Ho 0.2456 0.5000 0.2489
Ho2 Ho 0.2476 0.3311 0.7512
Th1 Th 0.0000 0.3333 0.0000
```

(12)
## YCrTc2 (PBE)

Data for YCrTc2 after structural relaxation.

Computed properties:
As for the energy above the most stable polymorph in this dataset: 130 meV/atom. As for the formation enthalpy at 0 K: 0.3065 eV per atom. The value obtained for the raw total energy is -8.90 eV per atom.

The structure in CIF format:
```
data_YCrTc2
_chemical_formula_sum 'Y2 Cr2 Tc4'
_cell_length_a 3.1624
_cell_length_b 4.6844
_cell_length_c 9.1897
_cell_angle_alpha 90.00
_cell_angle_beta 90.00
_cell_angle_gamma 90.00
_space_group_name_H-M_alt 'I m m 2'
_space_group_IT_number 44
loop_
_space_group_symop_operation_xyz
'x,y,z'
'-x,-y,z'
'-x,y,z'
'x,-y,z'
'x+1/2,y+1/2,z+1/2'
'-x+1/2,-y+1/2,z+1/2'
'-x+1/2,y+1/2,z+1/2'
'x+1/2,-y+1/2,z+1/2'
loop_
_atom_site_label
_atom_site_type_symbol
_atom_site_fract_x
_atom_site_fract_y
_atom_site_fract_z
Y1 Y 0.0000 0.0000 0.0000
Cr1 Cr 0.0000 0.5000 0.7755
Tc1 Tc 0.0000 0.0000 0.5008
Tc2 Tc 0.0000 0.5000 0.2290
```

(13)
## ZrScSe2Br (PBE)

Data for ZrScSe2Br after structural relaxation.

Computed properties:
As for the energy above the most stable polymorph in this dataset: 85 meV/atom. As for the uncorrected formation energy: -2.5 eV/f.u. The value obtained for the raw total energy is -5.21 eV per atom.

The structure in CIF format:
```
data_ZrScSe2Br
_chemical_formula_sum 'Zr1 Sc1 Se2 Br1'
_cell_length_a 5.1604
_cell_length_b 5.1604
_cell_length_c 5.0239
_cell_angle_alpha 90.00
_cell_angle_beta 90.00
_cell_angle_gamma 90.00
_space_group_name_H-M_alt 'P 4/m m m'
_space_group_IT_number 123
_space_group_name_Hall '-P 4 2'
loop_
_atom_site_label
_atom_site_type_symbol
_atom_site_fract_x
_atom_site_fract_y
_atom_site_fract_z
Zr1 Zr 0.0000 0.0000 0.0000
Sc1 Sc 0.5000 0.5000 0.5000
Se1 Se 0.0000 0.5000 0.5000
Br1 Br 0.5000 0.5000 0.0000
```

(14)
## ErPbSe2O8 (PBE)

Data for ErPbSe2O8 after structural relaxation.

Computed properties:
As for the uncorrected formation energy: -15.7 eV/f.u. The value obtained for the raw total energy is -5.89 eV per atom.

The structure in CIF format:
```
data_ErPbSe2O8
_chemical_formula_sum 'Er2 Pb2 Se4 O16'
_cell_length_a 8.8250
_cell_length_b 6.0462
_cell_length_c 7.7343
_cell_angle_alpha 90.00
_cell_angle_beta 90.21
_cell_angle_gamma 90.00
_space_group_name_H-M_alt 'C 1 2/m 1'
_space_group_IT_number 12
loop_
_space_group_symop_operation_xyz
'x,y,z'
'-x,-y,-z'
'-x,y,-z'
'x,-y,z'
'x+1/2,y+1/2,z'
'-x+1/2,-y+1/2,-z'
'-x+1/2,y+1/2,-z'
'x+1/2,-y+1/2,z'
loop_
_atom_site_label
_atom_site_type_symbol
_atom_site_fract_x
_atom_site_fract_y
_atom_site_fract_z
Er1 Er 0.0000 0.0000 0.0000
Pb1 Pb 0.0000 0.0000 0.5000
Se1 Se 0.1311 0.5000 0.7688
O1 O 0.0321 0.2431 0.7791
O2 O 0.2179 0.5000 0.5764
O3 O 0.2449 0.0000 0.0636
```

(15)
## NaCdGe2 (PBE)

Data for NaCdGe2 after structural relaxation.

Computed properties:
As for the formation enthalpy at 0 K: 0.0558 eV per atom. The value obtained for the raw total energy is -2.81 eV per atom.

The structure in CIF format:
```
data_NaCdGe2
_chemical_formula_sum 'Na2 Cd2 Ge4'
_cell_length_a 5.8457
_cell_length_b 9.9265
_cell_length_c 2.9293
_cell_angle_alpha 90.00
_cell_angle_beta 90.00
_cell_angle_gamma 90.00
_space_group_name_H-M_alt 'C m m m'
_space_group_IT_number 65
_space_group_name_Hall '-C 2 2'
loop_
_atom_site_label
_atom_site_type_symbol
_atom_site_fract_x
_atom_site_fract_y
_atom_site_fract_z
Na1 Na 0.0000 0.0000 0.0000
Cd1 Cd 0.0000 0.5000 0.5000
Ge1 Ge 0.2500 0.2500 0.5000
```

(16)
## PmTh2In (PBE)

Data for PmTh2In after structural relaxation.

Computed properties:
As for the energy above the most stable polymorph in this dataset: 144 meV/atom. As for the formation enthalpy at 0 K: -0.0435 eV per atom. The value obtained for the raw total energy is -5.63 eV per atom.

The structure in CIF format:
```
data_PmTh2In
_chemical_formula_sum 'Pm1 Th2 In1'
_cell_length_a 3.5010
_cell_length_b 3.5010
_cell_length_c 10.1893
_cell_angle_alpha 90.00
_cell_angle_beta 90.00
_cell_angle_gamma 90.00
_space_group_name_H-M_alt 'P 4/m m m'
_space_group_IT_number 123
_space_group_name_Hall '-P 4 2'
loop_
_atom_site_label
_atom_site_type_symbol
_atom_site_fract_x
_atom_site_fract_y
_atom_site_fract_z
Pm1 Pm 0.0000 0.0000 0.0000
Th1 Th 0.5000 0.5000 0.2689
In1 In 0.0000 0.0000 0.5000
```

(17)
## Nd6As2P3S (PBE)

Data for Nd6As2P3S after structural relaxation.

Computed properties:
As for the uncorrected formation energy: -19.7 eV/f.u. The value obtained for the raw total energy is -6.50 eV per atom.

The structure in CIF format:
```
data_Nd6As2P3S
_chemical_formula_sum 'Nd12 As4 P6 S2'
_cell_length_a 18.2590
_cell_length_b 4.1893
_cell_length_c 8.3891
_cell_angle_alpha 90.00
_cell_angle_beta 103.34
_cell_angle_gamma 90.00
_space_group_name_H-M_alt 'C 1 2/m 1'
_space_group_IT_number 12
loop_
_space_group_symop_operation_xyz
'x,y,z'
'-x,-y,-z'
'-x,y,-z'
'x,-y,z'
'x+1/2,y+1/2,z'
'-x+1/2,-y+1/2,-z'
'-x+1/2,y+1/2,-z'
'x+1/2,-y+1/2,z'
loop_
_atom_site_label
_atom_site_type_symbol
_atom_site_fract_x
_atom_site_fract_y
_atom_site_fract_z
Nd1 Nd 0.0019 0.0000 0.2459
Nd2 Nd 0.1653 0.5000 0.0866
Nd3 Nd 0.1675 0.5000 0.5788
As1 As 0.1656 0.0000 0.8311
P1 P 0.0000 0.5000 0.0000
P2 P 0.1662 0.0000 0.3341
S1 S 0.0000 0.5000 0.5000
```